The following is a PBE-GGA calculation of a relaxed SrBi2Au2 crystal, from Alexandria via LeMat-Bulk.

Computed properties:
Fermi-level density of states = 4.967 states/eV per cell
formation energy from the elements = -1.2 eV per formula unit
total energy = -3.439 eV/atom

```
10
Lattice="-6.4198 -5.1559 2.3458 -0.8921 -2.5810 -8.1143 2.4590 -2.7822 0.6146" Properties=species:S:1:pos:R:3 pbc="T T T"
Sr 0.0000 0.0000 0.0000
Sr -3.6560 -3.8684 -2.8842
Au -0.4518 -3.9887 -4.7244
Au -3.8064 -6.9850 -4.8670
Au -4.4011 -6.5304 -0.4295
Au -1.0465 -3.5340 -0.2869
Bi -3.1134 -4.1129 -6.1615
Bi -6.1185 -6.0982 -3.1256
Bi -4.1985 -3.6240 0.3930
Bi -1.1934 -1.6386 -2.6429
```

***

The following is a PBE-GGA calculation of a relaxed Li3Ag2Sn2 crystal, from Alexandria via LeMat-Bulk.

Computed properties:
Fermi-level density of states = 1.917 states/eV per cell
relative energy among the computed polymorphs = 0.0 meV per atom
formation energy from the elements = -2.2 eV per formula unit
total energy = -3.097 eV/atom

```
7
Lattice="4.4909 -0.0324 -1.4439 -2.4648 4.0222 -0.0048 -0.1550 -0.0344 7.3240" Properties=species:S:1:pos:R:3 pbc="T T T"
Li 0.0000 0.0000 0.0000
Li 1.0069 3.4006 3.1383
Li 0.8642 0.5550 2.7371
Ag 0.1817 2.8944 0.5900
Ag 1.6895 1.0612 5.2853
Sn -0.8383 2.2786 5.1031
Sn 2.7095 1.6769 0.7722
```

***

The following is a PBE-GGA calculation of a relaxed SrY3Co crystal, from Alexandria via LeMat-Bulk.

Computed properties:
Fermi-level density of states = 7.317 states/eV per cell
relative energy among the computed polymorphs = 0.0 meV per atom
formation energy from the elements = -0.2 eV per formula unit
total energy = -5.667 eV/atom

```
5
Lattice="5.4084 0.0000 0.0000 0.0000 5.4084 0.0000 0.0000 0.0000 5.4084" Properties=species:S:1:pos:R:3 pbc="T T T"
Y 0.0000 2.7042 0.0000
Y 0.0000 0.0000 2.7042
Y 2.7042 0.0000 0.0000
Sr 2.7042 2.7042 2.7042
Co 0.0000 0.0000 0.0000
```

***

The following is a PBE-GGA calculation of a relaxed Sm8Tm2Sn crystal, from Alexandria via LeMat-Bulk.

Computed properties:
Fermi-level density of states = 15.589 states/eV per cell
formation energy from the elements = -1.3 eV per formula unit
total energy = -4.726 eV/atom

```
11
Lattice="4.9622 0.0000 0.0000 0.0000 8.0058 0.4884 -2.4811 -2.9714 8.5953" Properties=species:S:1:pos:R:3 pbc="T T T"
Sm 0.0000 2.0399 7.3167
Sm 2.4811 6.2001 3.5142
Sm 2.4811 4.4145 6.6483
Sm 2.4811 -0.5568 7.9750
Sm 0.0000 0.6199 2.4354
Sm 0.0000 -1.1656 5.5695
Sm 2.4811 2.9945 1.7670
Sm 0.0000 5.5913 1.1088
Tm 2.4811 1.3031 4.9220
Tm 0.0000 3.7313 4.1617
Sn 2.4811 0.0000 0.0000
```

***

The following is a PBE-GGA calculation of a relaxed Ba2AsRh crystal, from Alexandria via LeMat-Bulk.

Computed properties:
Fermi-level density of states = 1.921 states/eV per cell
formation energy from the elements = -1.3 eV per formula unit
total energy = -4.292 eV/atom

```
4
Lattice="5.6910 0.0013 0.0000 0.8966 5.6200 0.0000 -3.2938 -2.8106 3.6931" Properties=species:S:1:pos:R:3 pbc="T T T"
As 2.8455 0.0006 1.8466
Rh 0.4483 2.8100 1.8466
Ba 0.0000 0.0000 0.0000
Ba 3.2938 2.8106 0.0000
```

***

The following is a PBE-GGA calculation of a relaxed Ca3LaNd2Se6 crystal, from Alexandria via LeMat-Bulk.

Computed properties:
Fermi-level density of states = 4.953 states/eV per cell
ΔE_f (raw) = -1.93 eV per atom
total energy = -5.375 eV/atom

```
12
Lattice="7.2782 0.0022 0.0001 -3.6354 6.3053 0.0001 -1.2153 -2.1043 7.0064" Properties=species:S:1:pos:R:3 pbc="T T T"
Ca -2.4270 4.2043 3.5033
Ca 4.8545 -0.0011 3.5033
Ca 1.2137 2.1016 3.5033
La 0.0000 0.0000 0.0000
Nd 0.0079 4.2011 0.0001
Nd 3.6349 2.1064 0.0001
Se 3.6492 2.0875 5.1991
Se 2.4208 4.1916 1.8092
Se -1.2217 2.1156 1.8075
Se -0.0155 4.2041 5.1991
Se 0.0067 0.0116 5.1974
Se 2.4430 -0.0009 1.8075
```

***

The following is a PBE-GGA calculation of a relaxed Ti3TlCr crystal, from Alexandria via LeMat-Bulk.

Computed properties:
Fermi-level density of states = 7.663 states/eV per cell
relative energy among the computed polymorphs = 0.0 meV per atom
formation energy from the elements = 2.5 eV per formula unit
total energy = -6.640 eV/atom

```
5
Lattice="-1.3894 -4.2116 -1.1598 -0.2131 -1.1503 4.4323 -4.3632 1.3973 0.1529" Properties=species:S:1:pos:R:3 pbc="T T T"
Cr 0.0000 0.0000 0.0000
Tl -2.9829 -1.9823 1.7127
Ti -0.1065 -0.5751 2.2161
Ti -2.1816 0.6987 0.0764
Ti -0.6947 -2.1058 -0.5799
```

***

The following is a PBE-GGA calculation of a relaxed LaScGeO5 crystal, from Alexandria via LeMat-Bulk.

Computed properties:
Fermi-level density of states = 0.000 states/eV per cell
ΔE_f (raw) = -2.88 eV per atom
total energy = -7.963 eV/atom

```
16
Lattice="-4.6126 -2.3741 2.6562 4.5351 -3.5038 1.0602 1.4554 5.8929 4.1704" Properties=species:S:1:pos:R:3 pbc="T T T"
La 1.9139 -1.6619 2.6236
La -0.5360 1.6769 5.2632
Sc 0.7277 2.9464 2.0852
Sc 0.0000 0.0000 0.0000
Ge -1.2938 -1.2658 3.1832
Ge 2.6717 1.2808 4.7035
O 4.1035 -1.9324 2.2415
O -2.7256 1.9473 5.6452
O -2.4989 -2.5815 3.2071
O 3.8767 2.5965 4.6796
O -2.0907 0.2971 3.5086
O 3.4686 -0.2821 4.3781
O 0.0203 -1.4161 4.3733
O 1.3575 1.4311 3.5134
O -0.4561 -1.3812 1.6177
O 1.8340 1.3962 6.2690
```

***

The following is a PBE-GGA calculation of a relaxed NpUGaRh crystal, from Alexandria via LeMat-Bulk.

Computed properties:
Fermi-level density of states = 7.421 states/eV per cell
formation energy from the elements = -0.9 eV per formula unit
total energy = -8.872 eV/atom

```
4
Lattice="-1.7333 -2.7446 -3.4691 1.8867 -4.2852 -0.8057 -2.4602 -3.9192 1.0766" Properties=species:S:1:pos:R:3 pbc="T T T"
Np -0.5767 -2.7372 -0.7995
Rh -1.7301 -8.2117 -2.3986
U -1.1534 -5.4745 -1.5991
Ga 0.0000 0.0000 0.0000
```

***

The following is a PBE-GGA calculation of a relaxed Cd2ICl3 crystal, from Alexandria via LeMat-Bulk.

Computed properties:
Fermi-level density of states = 0.000 states/eV per cell
relative energy among the computed polymorphs = 108.3 meV per atom
ΔE_f (raw) = -0.85 eV per atom
total energy = -2.333 eV/atom

```
12
Lattice="4.1215 0.0000 0.0000 0.0000 9.5861 0.4088 -2.0607 -1.5843 10.9669" Properties=species:S:1:pos:R:3 pbc="T T T"
Cd 0.0000 5.3284 6.8600
Cd 2.0607 2.6734 4.5156
Cd 2.0607 7.2098 9.6843
Cd 0.0000 0.7921 1.6913
I 0.0000 8.1643 7.7198
I 2.0607 -0.1624 3.6559
Cl 0.0000 2.5944 6.0811
Cl 0.0000 7.9469 1.0509
Cl 0.0000 4.8973 9.2692
Cl 2.0607 5.4075 5.2946
Cl 2.0607 3.1046 2.1065
Cl 2.0607 0.0549 10.3247
```

***

> What is the total energy in the tenth record?

-2.333 eV/atom

***

What did the first record say?
The following is a PBE-GGA calculation of a relaxed SrBi2Au2 crystal, from Alexandria via LeMat-Bulk.

Computed properties:
Fermi-level density of states = 4.967 states/eV per cell
formation energy from the elements = -1.2 eV per formula unit
total energy = -3.439 eV/atom

```
10
Lattice="-6.4198 -5.1559 2.3458 -0.8921 -2.5810 -8.1143 2.4590 -2.7822 0.6146" Properties=species:S:1:pos:R:3 pbc="T T T"
Sr 0.0000 0.0000 0.0000
Sr -3.6560 -3.8684 -2.8842
Au -0.4518 -3.9887 -4.7244
Au -3.8064 -6.9850 -4.8670
Au -4.4011 -6.5304 -0.4295
Au -1.0465 -3.5340 -0.2869
Bi -3.1134 -4.1129 -6.1615
Bi -6.1185 -6.0982 -3.1256
Bi -4.1985 -3.6240 0.3930
Bi -1.1934 -1.6386 -2.6429
```

***

> The highest Fermi-level density of states belongs to which entry?

Sm8Tm2Sn

***

> Which value of total energy does entry 7 give?

-6.640 eV/atom